[1]
Sn2HgPt | GGA-PBE | relaxed

Lattice parameters (Å, degrees): 3.8595 3.8595 8.0748 76.17 76.17 60.00
Atoms (fractional coordinates):
1 Sn 0.2654 0.2654 0.2038
2 Hg 0.5000 0.5000 0.5000
3 Sn 0.7346 0.7346 0.7962
4 Pt 0.0000 0.0000 0.0000

Results
As for the total energy: -0.1407 hartree per atom.

[2]
In2Pd5PtAu | GGA-PBE | relaxed

Lattice parameters (Å, degrees): 7.6177 7.6177 7.8918 118.86 118.86 90.00
Atoms (fractional coordinates):
1 Au 0.2500 0.7500 0.5000
2 Pt 0.2500 0.2500 0.5000
3 In 0.6198 0.1198 0.0000
4 Pd 0.5662 0.6593 0.7254
5 Pd 0.3407 0.8407 0.2746
6 Au 0.7500 0.2500 0.5000
7 Pd 0.0662 0.5662 0.7254
8 In 0.3802 0.8802 0.0000
9 Pd 0.5000 0.5000 0.0000
10 In 0.8802 0.6198 0.0000
11 Pd 0.4338 0.3407 0.2746
12 Pd 0.6593 0.1593 0.7254
13 Pt 0.7500 0.7500 0.5000
14 Pd 0.8407 0.9338 0.2746
15 In 0.1198 0.3802 0.0000
16 Pd 0.1593 0.0662 0.7254
17 Pd 0.0000 0.0000 0.0000
18 Pd 0.9338 0.4338 0.2746

Results
As for the total energy: -0.1616 hartree per atom.

[3]
K4Pr3TlO8 | GGA-PBE | relaxed

Lattice parameters (Å, degrees): 7.2643 7.5931 7.2663 118.57 119.99 90.00
Atoms (fractional coordinates):
1 Pr 0.0000 0.5000 0.5000
2 O 0.7676 0.3017 0.0343
3 O 0.2329 0.6986 0.4657
4 O 0.2324 0.6983 0.9657
5 O 0.2699 0.3094 0.5397
6 O 0.7671 0.3014 0.5343
7 Tl 0.0000 0.5000 0.0000
8 Pr 0.5000 0.5000 0.0000
9 K 0.0000 0.0000 0.0000
10 K 0.5000 0.0000 0.0000
11 Pr 0.5000 0.5000 0.5000
12 O 0.7301 0.6906 0.4603
13 O 0.7333 0.6983 0.9657
14 O 0.2667 0.3017 0.0343
15 K 0.5000 0.0000 0.5000
16 K 0.0000 0.0000 0.5000

Results
The value obtained for the uncorrected formation energy is -2164.1 meV per atom.

[4]
RbIn2Mo | GGA-PBE | relaxed

Lattice parameters (Å, degrees): 5.3765 5.3765 5.3765 60.00 60.00 60.00
Each line ends with the local moment (μB).
Atoms (fractional coordinates):
1 Rb 0.0000 0.0000 0.0000  0.00
2 In 0.2500 0.2500 0.2500  -0.04
3 Mo 0.5000 0.5000 0.5000  2.82
4 In 0.7500 0.7500 0.7500  -0.04

Results
The value obtained for the energy relative to the lowest polymorph listed for this composition is 5.9 kJ/mol of atoms.

[5]
CoAgTe4 | GGA-PBE | relaxed

Lattice parameters (Å, degrees): 3.9556 7.4779 6.6537 122.85 107.29 90.00
Atoms (fractional coordinates):
1 Te 0.1425 0.8669 0.2850
2 Ag 0.5000 0.5000 0.0000
3 Co 0.0000 0.0000 0.0000
4 Te 0.6152 0.2735 0.2303
5 Te 0.3848 0.7265 0.7697
6 Te 0.8575 0.1331 0.7150

Results
The value obtained for the energy relative to the lowest polymorph listed for this composition is 0.0 kJ/mol of atoms. The value obtained for the uncorrected formation energy is -88.7 meV per atom.

[6]
Si2Ag | GGA-PBE | relaxed

Lattice parameters (Å, degrees): 4.6300 4.6300 2.6747 90.00 90.00 120.00
Atoms (fractional coordinates):
1 Si 0.6667 0.3333 0.4996
2 Ag 0.0000 0.0000 0.0000
3 Si 0.3333 0.6667 0.5004

Results
The value obtained for the energy relative to the lowest polymorph listed for this composition is 12.9 kJ/mol of atoms. The value obtained for the uncorrected formation energy is 448.3 meV per atom.

[7]
PrAsRh3 | GGA-PBE | relaxed

Lattice parameters (Å, degrees): 4.1207 4.1205 6.1485 70.39 70.39 90.00
Atoms (fractional coordinates):
1 Pr 0.3905 0.1940 0.9243
2 As 0.0240 0.8275 0.6572
3 Rh 0.1432 0.4470 0.4185
4 Rh 0.8066 0.6100 0.0926
5 Rh 0.6434 0.9467 0.4185

Results
The value obtained for the energy relative to the lowest polymorph listed for this composition is 0.0 kJ/mol of atoms.

[8]
LiDy4Pt3 | GGA-PBE | relaxed

Lattice parameters (Å, degrees): 4.9888 4.9888 7.8241 108.55 108.59 90.00
Atoms (fractional coordinates):
1 Dy 0.3728 0.3725 0.7455
2 Dy 0.8728 0.8726 0.7455
3 Li 0.5000 0.0000 0.0000
4 Dy 0.6272 0.6275 0.2545
5 Pt 0.2710 0.7710 0.5421
6 Pt 0.7290 0.2290 0.4579
7 Pt 0.0000 0.5000 0.0000
8 Dy 0.1272 0.1274 0.2545

Results
As for the total energy: -0.2128 hartree per atom.

[9]
CeSeI | GGA-PBE | relaxed

Lattice parameters (Å, degrees): 3.7968 3.7968 7.3419 104.99 104.99 90.00
Each line ends with the local moment (μB).
Atoms (fractional coordinates):
1 Ce 0.6866 0.6866 0.3732  0.87
2 I 0.0292 0.0292 0.0583  -0.03
3 Se 0.2842 0.2842 0.5685  -0.04

Results
The value obtained for the energy relative to the lowest polymorph listed for this composition is 18.6 kJ/mol of atoms. The value obtained for the uncorrected formation energy is -1415.1 meV per atom.

[10]
Ti5HgMo4 | GGA-PBE | relaxed

Lattice parameters (Å, degrees): 3.2164 3.2164 15.9336 90.00 90.00 90.00
Atoms (fractional coordinates):
1 Hg 0.0000 0.0000 0.0000
2 Ti 0.5000 0.5000 0.1194
3 Mo 0.0000 0.0000 0.7936
4 Ti 0.5000 0.5000 0.3051
5 Ti 0.5000 0.5000 0.6949
6 Mo 0.0000 0.0000 0.4037
7 Mo 0.0000 0.0000 0.5963
8 Mo 0.0000 0.0000 0.2064
9 Ti 0.5000 0.5000 0.5000
10 Ti 0.5000 0.5000 0.8806

Results
As for the total energy: -0.3088 hartree per atom.

[11]
TbGa4Au | GGA-PBE | relaxed

Lattice parameters (Å, degrees): 4.3893 5.9267 11.0594 106.22 90.00 111.73
Atoms (fractional coordinates):
1 Au 0.0000 0.5000 0.5000
2 Ga 0.2533 0.0065 0.9466
3 Tb 0.7504 0.0000 0.7500
4 Ga 0.9464 0.3942 0.2546
5 Ga 0.7532 0.0065 0.4466
6 Ga 0.5522 0.6058 0.2454
7 Au 0.5000 0.5000 0.0000
8 Tb 0.2496 0.0000 0.2500
9 Ga 0.0536 0.6058 0.7454
10 Ga 0.2468 0.9935 0.5534
11 Ga 0.4478 0.3942 0.7546
12 Ga 0.7467 0.9935 0.0534

Results
As for the total energy: -0.1348 hartree per atom.

[12]
CoPRh2 | GGA-PBE | relaxed

Lattice parameters (Å, degrees): 5.0488 5.0488 4.1852 65.51 65.51 32.01
Each line ends with the local moment (μB).
Atoms (fractional coordinates):
1 Co 0.5470 0.5470 0.4528  0.97
2 P 0.2440 0.2440 0.2564  -0.02
3 Rh 0.9601 0.9601 0.0397  0.26
4 Rh 0.7489 0.7489 0.7510  0.11

Results
As for the total energy: -0.2599 hartree per atom.

[13]
La5AlBr5 | GGA-PBE | relaxed

Lattice parameters (Å, degrees): 6.1106 7.3754 8.8607 106.89 89.90 114.07
Atoms (fractional coordinates):
1 La 0.8267 0.6521 0.1499
2 Br 0.6530 0.3128 0.3455
3 Al 0.0000 0.0000 0.0000
4 Br 0.3470 0.6872 0.6545
5 La 0.1582 0.3233 0.3199
6 La 0.5000 0.0000 0.0000
7 Br 0.0000 0.0000 0.5000
8 La 0.8418 0.6767 0.6801
9 Br 0.3474 0.6943 0.1942
10 Br 0.6526 0.3057 0.8058
11 La 0.1733 0.3479 0.8501

Results
The value obtained for the uncorrected formation energy is -1280.5 meV per atom.

[14]
Sr2InF | GGA-PBE | relaxed

Lattice parameters (Å, degrees): 3.6355 3.6355 8.3953 90.00 90.00 90.00
Atoms (fractional coordinates):
1 Sr 0.0000 0.0000 0.2289
2 In 0.5000 0.5000 0.5000
3 F 0.5000 0.5000 0.0000
4 Sr 0.0000 0.0000 0.7711

Results
The value obtained for the energy relative to the lowest polymorph listed for this composition is 22.8 kJ/mol of atoms. The value obtained for the uncorrected formation energy is -1277.6 meV per atom.

[15]
Sc2NiPt9 | GGA-PBE | relaxed

Lattice parameters (Å, degrees): 3.9731 3.9731 11.9178 90.00 90.00 90.00
Each line ends with the local moment (μB).
Atoms (fractional coordinates):
1 Pt 0.0000 0.5000 0.5000  0.04
2 Pt 0.5000 0.0000 0.8396  0.11
3 Pt 0.5000 0.0000 0.1604  0.11
4 Pt 0.5000 0.5000 0.6695  0.05
5 Sc 0.0000 0.0000 0.6709  0.00
6 Pt 0.5000 0.0000 0.5000  0.04
7 Pt 0.5000 0.5000 0.3305  0.05
8 Pt 0.0000 0.5000 0.8396  0.11
9 Ni 0.0000 0.0000 0.0000  0.68
10 Pt 0.0000 0.5000 0.1604  0.11
11 Sc 0.0000 0.0000 0.3291  0.00
12 Pt 0.5000 0.5000 0.0000  0.19

Results
As for the total energy: -0.2491 hartree per atom.

[16]
NaInSb | GGA-PBE | relaxed

Lattice parameters (Å, degrees): 5.3630 5.3606 6.5322 90.00 90.00 120.01
Atoms (fractional coordinates):
1 Sb 0.3334 0.6667 0.2500
2 In 0.6669 0.3337 0.2500
3 Sb 0.6666 0.3333 0.7500
4 Na 0.0000 0.0000 0.5000
5 Na 0.0000 0.0000 0.0000
6 In 0.3331 0.6663 0.7500

Results
The value obtained for the uncorrected formation energy is -224.1 meV per atom.

[17]
Cs5K2Hg12 | GGA-PBE | relaxed

Lattice parameters (Å, degrees): 9.0232 8.7127 11.4330 67.60 76.86 90.00
Atoms (fractional coordinates):
1 Cs 0.0740 0.6939 0.6122
2 Hg 0.7155 0.3871 0.7159
3 Hg 0.7155 0.8970 0.7159
4 Hg 0.6291 0.2213 0.2044
5 Cs 0.5000 0.0000 0.0000
6 K 0.0000 0.7475 0.0000
7 Hg 0.0340 0.8687 0.2627
8 K 0.0000 0.2525 0.0000
9 Hg 0.6291 0.5743 0.2044
10 Cs 0.9260 0.3061 0.3878
11 Hg 0.3709 0.7787 0.7956
12 Cs 0.3992 0.2231 0.5539
13 Hg 0.3709 0.4257 0.7956
14 Hg 0.3091 0.4668 0.0664
15 Cs 0.6008 0.7769 0.4461
16 Hg 0.6909 0.5332 0.9336
17 Hg 0.2845 0.1030 0.2841
18 Hg 0.9660 0.1313 0.7373
19 Hg 0.2845 0.6129 0.2841

Results
As for the total energy: -0.0281 hartree per atom.

[18]
TbPuNi2As2 | GGA-PBE | relaxed

Lattice parameters (Å, degrees): 4.0742 4.0742 7.7745 90.00 90.00 120.00
Each line ends with the local moment (μB).
Atoms (fractional coordinates):
1 As 0.3333 0.6667 0.2538  -0.05
2 Ni 0.3333 0.6667 0.7539  -0.15
3 Tb 0.0000 0.0000 0.5000  0.07
4 Pu 0.0000 0.0000 0.0000  5.15
5 As 0.6667 0.3333 0.7462  -0.05
6 Ni 0.6667 0.3333 0.2461  -0.15

Results
As for the total energy: -0.2770 hartree per atom.

[19]
CaCd2Cl | GGA-PBE | relaxed

Lattice parameters (Å, degrees): 5.3184 5.3184 6.2556 70.67 70.67 41.47
Atoms (fractional coordinates):
1 Ca 0.2417 0.2417 0.3531
2 Cd 0.7368 0.7368 0.8247
3 Cl 0.5300 0.5300 0.3862
4 Cd 0.9915 0.9915 0.9360

Results
The value obtained for the energy relative to the lowest polymorph listed for this composition is 7.1 kJ/mol of atoms. The value obtained for the uncorrected formation energy is -716.0 meV per atom.

[20]
TaBrCl2 | GGA-PBE | relaxed

Lattice parameters (Å, degrees): 5.0797 5.0797 5.0797 128.13 128.13 76.41
Each line ends with the local moment (μB).
Atoms (fractional coordinates):
1 Br 0.7500 0.2500 0.5000  -0.04
2 Cl 0.0000 0.0000 0.0000  -0.05
3 Cl 0.5000 0.5000 0.0000  -0.05
4 Ta 0.2500 0.7500 0.5000  1.54

Results
The value obtained for the energy relative to the lowest polymorph listed for this composition is 131.2 kJ/mol of atoms. The value obtained for the uncorrected formation energy is 364.8 meV per atom.

[21]
TbEr4Cu2 | GGA-PBE | relaxed

Lattice parameters (Å, degrees): 4.7671 4.7671 10.2245 76.52 76.52 60.00
Atoms (fractional coordinates):
1 Er 0.9020 0.9020 0.2941
2 Er 0.7000 0.7000 0.9000
3 Tb 0.5000 0.5000 0.5000
4 Er 0.3000 0.3000 0.1000
5 Cu 0.6011 0.6011 0.1968
6 Cu 0.3989 0.3989 0.8032
7 Er 0.0980 0.0980 0.7059

Results
As for the total energy: -0.1576 hartree per atom.